# 1
The following is a DFT calculation (PBE) of LiRhW2 after structural relaxation.

The structure belongs to space group P4mm (No. 99); the cell edges are 3.189, 3.189 and 5.756 Å and the angles 90.00°, 90.00° and 90.00°. The inequivalent atoms are Li at (0.000, 0.000, 0.000), Rh at (0.500, 0.500, 0.208), W at (0.000, 0.000, 0.496) and W at (0.500, 0.500, 0.740).

The calculation puts the raw total energy at -0.315 Ha/atom. As for the relative energy among the computed polymorphs: 95 meV per atom. Its formation enthalpy at 0 K is 0.220 eV/atom.

# 2
The following is a DFT calculation (PBE) of TaTcIr2 after structural relaxation.

The structure belongs to space group I-4m2 (No. 119); the cell edges are 3.935, 3.935 and 7.895 Å and the angles 90.00°, 90.00° and 90.00°. The inequivalent atoms are Ta at (0.000, 0.000, 0.000), Tc at (0.000, 0.500, 0.250), Ir at (0.000, 0.000, 0.500) and Ir at (0.000, 0.500, 0.750).

The calculation puts the raw total energy at -0.381 Ha/atom. As for the relative energy among the computed polymorphs: 123 meV per atom. Its formation enthalpy at 0 K is -0.386 eV/atom.